Entry from Alexandria: a relaxed Tl2OsRu crystal (GGA-PBEsol).

Values from the calculation:
The value obtained for the excess energy over the best structure of this formula in the dataset is 33 kJ/mol of formula units. The space group is No. 8. As for the crystal system: monoclinic.

Unit cell a=2.944 b=4.967 c=5.422 alpha=110.33 beta=105.75 gamma=90.00
Positions (direct):
Os1 0.529 0.449 0.058
Ru1 0.222 0.803 0.443
Tl1 0.979 0.928 0.958
Tl2 0.770 0.320 0.541



Entry from Alexandria: a relaxed CdBiSe2Br crystal (GGA-PBEsol).

Values from the calculation:
The calculation puts the uncorrected formation energy at -546 meV/atom. The space group is No. 62. As for the crystal system: orthorhombic.

Unit cell a=4.107 b=9.859 c=13.091 alpha=90.00 beta=90.00 gamma=90.00
Positions (direct):
Cd1 0.250 0.494 0.738
Cd2 0.250 0.994 0.762
Cd3 0.750 0.506 0.262
Cd4 0.750 0.006 0.238
Bi1 0.250 0.696 0.023
Bi2 0.750 0.804 0.523
Bi3 0.250 0.196 0.477
Bi4 0.750 0.304 0.977
Se1 0.750 0.250 0.332
Se2 0.750 0.750 0.168
Se3 0.250 0.750 0.668
Se4 0.250 0.944 0.387
Se5 0.250 0.250 0.832
Se6 0.750 0.556 0.887
Se7 0.750 0.056 0.613
Se8 0.250 0.444 0.113
Br1 0.750 0.424 0.603
Br2 0.250 0.576 0.397
Br3 0.250 0.076 0.103
Br4 0.750 0.924 0.897



Entry from Alexandria: a relaxed MoOsRh2 crystal (GGA-PBEsol).

Values from the calculation:
The value obtained for the excess energy over the best structure of this formula in the dataset is 146 kJ/mol of formula units. The space group is No. 99. As for the crystal system: tetragonal.

Unit cell a=3.227 b=3.227 c=5.472 alpha=90.00 beta=90.00 gamma=90.00
Positions (direct):
Mo1 0.000 0.000 0.495
Os1 0.500 0.500 0.753
Rh1 0.000 0.000 0.006
Rh2 0.500 0.500 0.246



| no. | electronic total energy (eV/cell) |
| --- | --- |
| 1 | -24.62 |
| 2 | -71.13 |
| 3 | -39.41 |